Record 1
An optimized crystal structure of Cd4Hg. Source: Alexandria via LeMat-Bulk, functional GGA-PBE.

Lattice parameters (Å, degrees): 5.463 5.463 5.463 90.00 90.00 90.00
Fractional coordinates of all 5 atoms:
Hg  0.500  0.500  0.500
Cd  0.000  0.000  0.000
Cd  0.500  0.000  0.500
Cd  0.000  0.500  0.500
Cd  0.500  0.500  0.000

Results
For the energy above the most stable polymorph in this dataset, the calculation gives 268 meV per atom. The space group is Pm-3m, No. 221. For the density of states at the Fermi level, the calculation gives 2.0 states/eV/cell. The formation energy is 0.287 eV/atom. The value obtained for the volume is 32.62 Å³/atom.

=====

Record 2
An optimized crystal structure of CdHg5. Source: Alexandria via LeMat-Bulk, functional GGA-PBE.

Lattice parameters (Å, degrees): 6.891 6.891 5.417 90.00 90.00 142.13
Fractional coordinates of all 6 atoms:
Cd  0.972  0.028  0.000
Hg  0.806  0.194  0.500
Hg  0.637  0.363  0.000
Hg  0.472  0.528  0.500
Hg  0.308  0.692  0.000
Hg  0.138  0.862  0.500

Results
The space group is Cmmm, No. 65. For the density of states at the Fermi level, the calculation gives 1.0 states/eV/cell. The formation energy is 0.022 eV/atom. The value obtained for the volume is 26.31 Å³/atom.

=====

Record 3
An optimized crystal structure of Cd2Hg. Source: Alexandria via LeMat-Bulk, functional GGA-PBE.

Lattice parameters (Å, degrees): 5.252 5.252 3.020 90.00 90.00 120.00
Fractional coordinates of all 3 atoms:
Hg  0.000  0.000  0.000
Cd  0.667  0.333  0.266
Cd  0.333  0.667  0.734

Results
The space group is P-3m1, No. 164. For the density of states at the Fermi level, the calculation gives 1.1 states/eV/cell. The formation energy is 0.046 eV/atom. The value obtained for the volume is 24.05 Å³/atom.

=====

Record 4
An optimized crystal structure of Cd2Hg. Source: Alexandria via LeMat-Bulk, functional GGA-PBE.

Lattice parameters (Å, degrees): 6.884 6.884 6.884 152.28 152.28 39.60
Fractional coordinates of all 3 atoms:
Hg  0.333  0.333  0.000
Cd  0.002  0.002  0.000
Cd  0.665  0.665  0.000

Results
The space group is I4/mmm, No. 139. For the density of states at the Fermi level, the calculation gives 0.8 states/eV/cell. The formation energy is 0.021 eV/atom. The value obtained for the volume is 23.48 Å³/atom.

=====

Record 5
An optimized crystal structure of Cd3Hg. Source: Alexandria via LeMat-Bulk, functional GGA-PBE.

Lattice parameters (Å, degrees): 5.144 5.144 8.605 90.00 90.00 120.00
Fractional coordinates of all 8 atoms:
Hg  0.333  0.667  0.250
Hg  0.667  0.333  0.750
Cd  0.667  0.333  0.081
Cd  0.333  0.667  0.581
Cd  0.000  0.000  0.750
Cd  0.000  0.000  0.250
Cd  0.667  0.333  0.419
Cd  0.333  0.667  0.919

Results
The space group is P6_3/mmc, No. 194. For the density of states at the Fermi level, the calculation gives 2.5 states/eV/cell. The formation energy is 0.076 eV/atom. The value obtained for the volume is 24.65 Å³/atom.

=====

Record 6
An optimized crystal structure of CdHg3. Source: Alexandria via LeMat-Bulk, functional GGA-PBE.

Lattice parameters (Å, degrees): 4.464 4.464 6.061 68.39 68.39 90.00
Fractional coordinates of all 4 atoms:
Hg  0.250  0.750  0.500
Hg  0.500  0.500  0.000
Hg  0.750  0.250  0.500
Cd  0.000  0.000  0.000

Results
For the energy above the most stable polymorph in this dataset, the calculation gives 11 meV per atom. The space group is I4/mmm, No. 139. For the density of states at the Fermi level, the calculation gives 1.1 states/eV/cell. The formation energy is 0.029 eV/atom. The value obtained for the volume is 25.78 Å³/atom.

=====

Among the records above, which one has the highest volume? Cd4Hg

=====

Number 3 is which compound? Cd2Hg

=====

Which value of volume does entry 1 give? 32.62 Å³/atom

=====

Please write out number 5 again, unchanged.
An optimized crystal structure of Cd3Hg. Source: Alexandria via LeMat-Bulk, functional GGA-PBE.

Lattice parameters (Å, degrees): 5.144 5.144 8.605 90.00 90.00 120.00
Fractional coordinates of all 8 atoms:
Hg  0.333  0.667  0.250
Hg  0.667  0.333  0.750
Cd  0.667  0.333  0.081
Cd  0.333  0.667  0.581
Cd  0.000  0.000  0.750
Cd  0.000  0.000  0.250
Cd  0.667  0.333  0.419
Cd  0.333  0.667  0.919

Results
The space group is P6_3/mmc, No. 194. For the density of states at the Fermi level, the calculation gives 2.5 states/eV/cell. The formation energy is 0.076 eV/atom. The value obtained for the volume is 24.65 Å³/atom.